Computed, not measured: a relaxed structure of PaSbN at the PBE level of DFT.

Summary:
Symmetry   P-6m2 (187)
Crystal system   hexagonal
ΔE to the lowest computed polymorph   0.2973 eV per atom
ΔE_f (raw)   -0.949 eV/atom

Cell and atoms, written as POSCAR:
```
PaSbN
1.0
3.8229 0.0000 0.0000
-1.9115 3.3108 0.0000
0.0000 0.0000 5.0344
Pa Sb N
1 1 1
direct
0.0000 0.0000 0.0000 Pa
0.6667 0.3333 0.5000 Sb
0.3333 0.6667 0.0000 N
```